(1)
# MgOsRh2 (SCAN, single point on PBEsol structure)
data_MgOsRh2
_chemical_formula_sum 'Mg4 Os4 Rh8'
_cell_length_a 6.093
_cell_length_b 6.093
_cell_length_c 6.093
_cell_angle_alpha 90.00
_cell_angle_beta 90.00
_cell_angle_gamma 90.00
_symmetry_space_group_name_H-M 'F -4 3 m'
_symmetry_Int_Tables_number 216
_symmetry_space_group_name_Hall 'F -4 2 3'
loop_
_atom_site_label
_atom_site_type_symbol
_atom_site_fract_x
_atom_site_fract_y
_atom_site_fract_z
Mg1 Mg 0.000 0.000 0.000
Os1 Os 0.250 0.250 0.250
Rh1 Rh 0.000 0.000 0.500
Rh2 Rh 0.250 0.250 0.750
# Mass density = 12.34 g/cm3
# V = 56.56 Å³/f.u.
# Total DFT energy (no corrections) = -575.31 eV/cell
# Formation enthalpy at 0 K = 0.14 eV/atom

(2)
# IrW4Cl (SCAN, single point on PBEsol structure)
data_IrW4Cl
_chemical_formula_sum 'Ir4 W16 Cl4'
_cell_length_a 7.372
_cell_length_b 7.372
_cell_length_c 7.372
_cell_angle_alpha 90.00
_cell_angle_beta 90.00
_cell_angle_gamma 90.00
_symmetry_space_group_name_H-M 'F -4 3 m'
_symmetry_Int_Tables_number 216
_symmetry_space_group_name_Hall 'F -4 2 3'
loop_
_atom_site_label
_atom_site_type_symbol
_atom_site_fract_x
_atom_site_fract_y
_atom_site_fract_z
Ir1 Ir 0.000 0.000 0.000
W1 W 0.124 0.124 0.624
Cl1 Cl 0.250 0.250 0.250
# Mass density = 15.96 g/cm3
# Formation energy (no corrections) = 1136 meV per atom
# V = 100.17 Å³/f.u.
# Total DFT energy (no corrections) = -1404.06 eV/cell

(3)
# YTiI2 (SCAN, single point on PBEsol structure)
data_YTiI2
_chemical_formula_sum 'Y4 Ti4 I8'
_cell_length_a 7.183
_cell_length_b 7.183
_cell_length_c 7.183
_cell_angle_alpha 90.00
_cell_angle_beta 90.00
_cell_angle_gamma 90.00
_symmetry_space_group_name_H-M 'F m -3 m'
_symmetry_Int_Tables_number 225
_symmetry_space_group_name_Hall '-F 4 2 3'
loop_
_atom_site_label
_atom_site_type_symbol
_atom_site_fract_x
_atom_site_fract_y
_atom_site_fract_z
Y1 Y 0.000 0.000 0.000
Ti1 Ti 0.000 0.000 0.500
I1 I 0.250 0.250 0.250
# Mass density = 7.00 g/cm3
# Formation energy (no corrections) = -212 meV per atom
# V = 92.64 Å³/f.u.
# Total DFT energy (no corrections) = -472.82 eV/cell